VASP calculation (SCAN) on a PBEsol-optimized structure of KAl2Pb.

abc: 5.6538 5.6538 5.6538
angles: 130.63 130.63 72.40
Positions (direct):
K: 0.0000 0.0000 0.0000
Al: 0.2500 0.7500 0.5000
Al: 0.7500 0.2500 0.5000
Pb: 0.5000 0.5000 0.0000

Calculated values
- Energy relative to the elements: 0.312 eV per atom
- Space-group type: I4/mmm (139)
- Magnetic moment: 0.00 μB per formula unit

---

VASP calculation (SCAN) on a PBEsol-optimized structure of KAl2Pb.

abc: 4.5913 4.5913 4.7193
angles: 90.00 90.00 90.00
Positions (direct):
K: 0.0000 0.0000 0.0000
Al: 0.0000 0.5000 0.5000
Al: 0.5000 0.0000 0.5000
Pb: 0.5000 0.5000 0.0000

Calculated values
- Energy relative to the elements: 0.319 eV per atom
- Space-group type: P4/mmm (123)
- Magnetic moment: 0.00 μB per formula unit

---

VASP calculation (SCAN) on a PBEsol-optimized structure of KAl3Pb.

abc: 5.4733 5.4733 5.4733
angles: 90.00 90.00 90.00
Positions (direct):
K: 0.0000 0.0000 0.0000
Al: 0.0000 0.0000 0.5000
Al: 0.0000 0.5000 0.0000
Al: 0.5000 0.0000 0.0000
Pb: 0.5000 0.5000 0.5000

Calculated values
- Energy relative to the elements: 1.523 eV per atom
- Space-group type: Pm-3m (221)
- Magnetic moment: 0.00 μB per formula unit

---

VASP calculation (SCAN) on a PBEsol-optimized structure of KAlPb2.

abc: 3.7150 4.1737 7.8287
angles: 90.00 90.00 90.00
Positions (direct):
K: 0.0000 0.0000 0.0000
Al: 0.5000 0.5000 0.6967
Pb: 0.0000 0.0000 0.5366
Pb: 0.5000 0.5000 0.3139

Calculated values
- Energy relative to the elements: 0.003 eV per atom
- Space-group type: Pmm2 (25)
- Magnetic moment: 0.00 μB per formula unit

---

VASP calculation (SCAN) on a PBEsol-optimized structure of KAlPt2.

abc: 3.2996 3.2996 7.6078
angles: 90.00 90.00 90.00
Positions (direct):
K: 0.0000 0.0000 0.0000
Al: 0.5000 0.5000 0.6189
Pt: 0.0000 0.0000 0.5090
Pt: 0.5000 0.5000 0.2922

Calculated values
- Energy relative to the elements: -0.178 eV per atom
- Space-group type: P4mm (99)
- Magnetic moment: 0.00 μB per formula unit

---

VASP calculation (SCAN) on a PBEsol-optimized structure of KAl3Pt.

abc: 4.8486 4.8486 4.8486
angles: 90.00 90.00 90.00
Positions (direct):
K: 0.0000 0.0000 0.0000
Al: 0.0000 0.5000 0.5000
Al: 0.5000 0.0000 0.5000
Al: 0.5000 0.5000 0.0000
Pt: 0.5000 0.5000 0.5000

Calculated values
- Energy relative to the elements: -0.310 eV per atom
- Space-group type: Pm-3m (221)
- Magnetic moment: 0.00 μB per formula unit